First-principles (PBE) data for crystalline BaMnCd4 at its relaxed geometry, as listed in Alexandria.

a = 6.031 Å, b = 6.031 Å, c = 6.031 Å
α = 60.00°, β = 60.00°, γ = 60.00°
Element x y z (fractional)
Ba 0.000 0.000 0.000
Mn 0.250 0.250 0.250
Cd 0.128 0.624 0.624
Cd 0.624 0.128 0.624
Cd 0.624 0.624 0.128
Cd 0.624 0.624 0.624

Summary:
* E_form: 0.09 eV/atom
* total moment: 3.66 μB per cell
* E: -2.37 eV/atom

***

First-principles (PBE) data for crystalline BaMnCd at its relaxed geometry, as listed in Alexandria.

a = 5.186 Å, b = 5.186 Å, c = 5.186 Å
α = 60.00°, β = 60.00°, γ = 60.00°
Element x y z (fractional)
Ba 0.000 0.000 0.000
Mn 0.750 0.750 0.750
Cd 0.500 0.500 0.500

Summary:
* E_form: 0.43 eV/atom
* total moment: 3.56 μB per cell
* E: -3.57 eV/atom

***

First-principles (PBE) data for crystalline BaMn2Cd at its relaxed geometry, as listed in Alexandria.

a = 5.160 Å, b = 5.160 Å, c = 3.715 Å
α = 90.00°, β = 90.00°, γ = 90.00°
Element x y z (fractional)
Ba 0.000 0.000 0.000
Mn 0.000 0.500 0.500
Mn 0.500 0.000 0.500
Cd 0.500 0.500 0.000

Summary:
* E_form: 0.73 eV/atom
* total moment: 7.73 μB per cell
* E: -4.57 eV/atom

***

First-principles (PBE) data for crystalline BaMnCd at its relaxed geometry, as listed in Alexandria.

a = 4.958 Å, b = 4.958 Å, c = 4.503 Å
α = 90.00°, β = 90.00°, γ = 120.00°
Element x y z (fractional)
Ba 0.000 0.000 0.000
Mn 0.333 0.667 0.500
Cd 0.667 0.333 0.500

Summary:
* E_form: 0.25 eV/atom
* total moment: 3.86 μB per cell
* E: -3.76 eV/atom

***

First-principles (PBE) data for crystalline BaMn2Cd at its relaxed geometry, as listed in Alexandria.

a = 6.306 Å, b = 6.306 Å, c = 6.306 Å
α = 149.38°, β = 129.07°, γ = 60.60°
Element x y z (fractional)
Ba 0.000 0.000 0.000
Mn 0.506 0.506 0.000
Mn 0.706 0.206 0.500
Cd 0.287 0.787 0.500

Summary:
* E_form: 0.61 eV/atom
* total moment: 7.39 μB per cell
* E: -4.68 eV/atom

***

First-principles (PBE) data for crystalline BaMnCd2 at its relaxed geometry, as listed in Alexandria.

a = 4.904 Å, b = 4.904 Å, c = 4.908 Å
α = 90.00°, β = 90.00°, γ = 90.00°
Element x y z (fractional)
Ba 0.000 0.000 0.000
Mn 0.500 0.500 0.000
Cd 0.000 0.500 0.500
Cd 0.500 0.000 0.500

Summary:
* E_form: 0.29 eV/atom
* total moment: 4.14 μB per cell
* E: -2.94 eV/atom